5
Lattice="6.9592 0.0000 0.0000 0.0000 6.9592 0.0000 0.0000 0.0000 6.5195" Properties=species:S:1:pos:R:3 comment="RbSb2TeP PBE optimized geometry" rho_g_cm3=2.56 formation_energy_uncorrected_mev_per_atom=1711 de_polymorph_ev_per_fu=7.670 pbc="T T T"
Rb 0.0000 0.0000 0.0000
Sb 0.0000 3.4796 0.0000
Sb 3.4796 0.0000 0.0000
Te 0.0000 0.0000 3.2597
P 3.4796 3.4796 3.2597